Crystalline Tb2YHo2Mg5 at its relaxed geometry, computed with PBE.

```
Tb2YHo2Mg5
1.0
10.562 0.000 0.000
0.000 10.562 0.000
0.000 0.000 5.059
Tb Y Ho Mg
4 2 4 10
direct
0.178 0.322 0.000
0.322 0.822 0.000
0.678 0.178 0.000
0.822 0.678 0.000
0.000 0.000 0.000
0.500 0.500 0.000
0.119 0.619 0.000
0.381 0.119 0.000
0.619 0.881 0.000
0.881 0.381 0.000
0.000 0.500 0.500
0.071 0.802 0.500
0.198 0.071 0.500
0.302 0.571 0.500
0.429 0.302 0.500
0.500 0.000 0.500
0.571 0.698 0.500
0.698 0.429 0.500
0.802 0.929 0.500
0.929 0.198 0.500
```

Calculated values
formation energy = 0.06 eV per atom
E_tot = -3.2254 eV per atom
N(E_F) = 0.75 states/eV/atom
space-group type = P4/mbm

Crystalline Na3ReI at its relaxed geometry, computed with PBE.

```
Na3ReI
1.0
5.835 0.000 0.000
0.000 5.835 0.000
0.000 0.000 5.835
Na Re I
3 1 1
direct
0.000 0.000 0.500
0.000 0.500 0.000
0.500 0.000 0.000
0.500 0.500 0.500
0.000 0.000 0.000
```

Calculated values
E_tot = -2.5824 eV per atom
N(E_F) = 1.14 states/eV/atom
space-group type = Pm-3m
formation energy without anion corrections = 97.3 kJ per mole of atoms

Crystalline LaTaIn2 at its relaxed geometry, computed with PBE.

```
LaTaIn2
1.0
-2.262 2.262 10.738
2.262 -2.262 10.738
2.262 2.262 -10.738
La Ta In
2 2 4
direct
0.000 0.000 0.000
0.750 0.250 0.500
0.250 0.750 0.500
0.500 0.500 0.000
0.180 0.625 0.055
0.375 0.430 0.555
0.570 0.125 0.945
0.875 0.820 0.445
```

Calculated values
formation energy = 0.52 eV per atom
E_tot = -5.0412 eV per atom
N(E_F) = 1.32 states/eV/atom
space-group type = I-42d

> Number 3 is which compound?

LaTaIn2

> Which of these has the lowest N(E_F)?

Tb2YHo2Mg5